Record 1
The following is a PBE calculation of a relaxed BeZnRe crystal, from the Alexandria database.

Geometry as POSCAR:
```
BeZnRe
1.0
0.0000 2.8651 2.8651
2.8651 0.0000 2.8651
2.8651 2.8651 0.0000
Be Zn Re
1 1 1
Direct
0.0000 0.0000 0.0000 Be
0.5000 0.5000 0.5000 Zn
0.7500 0.7500 0.7500 Re
```

Properties
Density   9.2 g/cm3
Density of states at the Fermi level   2.16 states/eV/f.u.
Polymorph energy (0 for the lowest one)   888 meV/atom
Total magnetic moment   1.230 μB per cell
Volume   15.7 Å³ per atom
Crystal system   cubic
E_form   1.079 eV/atom

=====

Record 2
The following is a PBE calculation of a relaxed Tc2PtN crystal, from the Alexandria database.

Geometry as POSCAR:
```
Tc2PtN
1.0
-2.4652 2.4652 5.3045
2.4652 -2.4652 5.3045
2.4652 2.4652 -5.3045
Tc Pt N
4 2 2
Direct
0.0234 0.6250 0.8984 Tc
0.3750 0.2734 0.3984 Tc
0.7266 0.1250 0.1016 Tc
0.8750 0.9766 0.6016 Tc
0.2500 0.7500 0.5000 Pt
0.5000 0.5000 0.0000 Pt
0.0000 0.0000 0.0000 N
0.7500 0.2500 0.5000 N
```

Properties
Density   10.4 g/cm3
Density of states at the Fermi level   3.44 states/eV/f.u.
Uncorrected formation energy   0.442 eV per atom
Total magnetic moment   0.000 μB per cell
Volume   16.1 Å³ per atom
Crystal system   tetragonal

=====

Record 3
The following is a PBE calculation of a relaxed HoTh4Fe4 crystal, from the Alexandria database.

Geometry as POSCAR:
```
HoTh4Fe4
1.0
8.5214 0.0000 0.0000
0.0000 8.5214 0.0000
0.0000 0.0000 5.4867
Ho Th Fe
2 8 8
Direct
0.2500 0.2500 0.2500 Ho
0.7500 0.7500 0.7500 Ho
0.0532 0.6656 0.1835 Th
0.1656 0.9468 0.6835 Th
0.3344 0.5532 0.6835 Th
0.4468 0.8344 0.1835 Th
0.5532 0.1656 0.8165 Th
0.6656 0.4468 0.3165 Th
0.8344 0.0532 0.3165 Th
0.9468 0.3344 0.8165 Th
0.0359 0.6134 0.6615 Fe
0.1134 0.9641 0.1615 Fe
0.3866 0.5359 0.1615 Fe
0.4641 0.8866 0.6615 Fe
0.5359 0.1134 0.3385 Fe
0.6134 0.4641 0.8385 Fe
0.8866 0.0359 0.8385 Fe
0.9641 0.3866 0.3385 Fe
```

Properties
Density   11.0 g/cm3
Density of states at the Fermi level   7.57 states/eV/f.u.
Total magnetic moment   0.001 μB per cell
Volume   22.1 Å³ per atom
Crystal system   tetragonal
E_form   0.011 eV/atom

=====

What did the third record say?
The following is a PBE calculation of a relaxed HoTh4Fe4 crystal, from the Alexandria database.

Geometry as POSCAR:
```
HoTh4Fe4
1.0
8.5214 0.0000 0.0000
0.0000 8.5214 0.0000
0.0000 0.0000 5.4867
Ho Th Fe
2 8 8
Direct
0.2500 0.2500 0.2500 Ho
0.7500 0.7500 0.7500 Ho
0.0532 0.6656 0.1835 Th
0.1656 0.9468 0.6835 Th
0.3344 0.5532 0.6835 Th
0.4468 0.8344 0.1835 Th
0.5532 0.1656 0.8165 Th
0.6656 0.4468 0.3165 Th
0.8344 0.0532 0.3165 Th
0.9468 0.3344 0.8165 Th
0.0359 0.6134 0.6615 Fe
0.1134 0.9641 0.1615 Fe
0.3866 0.5359 0.1615 Fe
0.4641 0.8866 0.6615 Fe
0.5359 0.1134 0.3385 Fe
0.6134 0.4641 0.8385 Fe
0.8866 0.0359 0.8385 Fe
0.9641 0.3866 0.3385 Fe
```

Properties
Density   11.0 g/cm3
Density of states at the Fermi level   7.57 states/eV/f.u.
Total magnetic moment   0.001 μB per cell
Volume   22.1 Å³ per atom
Crystal system   tetragonal
E_form   0.011 eV/atom